#one
A geometry-optimized HfSe3F structure. Source: Alexandria via LeMat-Bulk, functional PBE-GGA.

The structure in CIF format:
```
data_HfSe3F
_space_group_name_H-M_alt 'P 1'
_space_group_IT_number 1
_space_group_name_Hall 'P 1'
_cell_length_a 4.599
_cell_length_b 4.599
_cell_length_c 4.599
_cell_angle_alpha 90.00
_cell_angle_beta 90.00
_cell_angle_gamma 90.00
loop_
_atom_site_label
_atom_site_type_symbol
_atom_site_fract_x
_atom_site_fract_y
_atom_site_fract_z
F1 F 0.000 0.000 0.000
Se1 Se 0.000 0.000 0.500
Se2 Se 0.000 0.500 0.000
Se3 Se 0.500 0.000 0.000
Hf1 Hf 0.500 0.500 0.500
```

#two
A geometry-optimized HfSe3F structure. Source: Alexandria via LeMat-Bulk, functional PBE-GGA.

The structure in CIF format:
```
data_HfSe3F
_space_group_name_H-M_alt 'P 1'
_space_group_IT_number 1
_space_group_name_Hall 'P 1'
_cell_length_a 5.128
_cell_length_b 5.128
_cell_length_c 5.128
_cell_angle_alpha 90.00
_cell_angle_beta 90.00
_cell_angle_gamma 90.00
loop_
_atom_site_label
_atom_site_type_symbol
_atom_site_fract_x
_atom_site_fract_y
_atom_site_fract_z
Hf1 Hf 0.000 0.000 0.000
Se1 Se 0.000 0.500 0.000
Se2 Se 0.500 0.000 0.000
Se3 Se 0.000 0.000 0.500
F1 F 0.500 0.500 0.500
```

Result of the stability comparison: #one is the least stable of them.

#one
A geometry-optimized HfTlSe2F structure. Source: Alexandria via LeMat-Bulk, functional PBE-GGA.

The structure in CIF format:
```
data_HfTlSe2F
_space_group_name_H-M_alt 'P 1'
_space_group_IT_number 1
_space_group_name_Hall 'P 1'
_cell_length_a 3.845
_cell_length_b 8.148
_cell_length_c 8.951
_cell_angle_alpha 107.10
_cell_angle_beta 90.00
_cell_angle_gamma 90.00
loop_
_atom_site_label
_atom_site_type_symbol
_atom_site_fract_x
_atom_site_fract_y
_atom_site_fract_z
Hf1 Hf 0.750 0.173 0.176
Hf2 Hf 0.250 0.827 0.824
Tl1 Tl 0.750 0.279 0.689
Tl2 Tl 0.250 0.721 0.311
Se1 Se 0.750 0.820 0.038
Se2 Se 0.250 0.180 0.962
Se3 Se 0.250 0.139 0.369
Se4 Se 0.750 0.861 0.631
F1 F 0.250 0.576 0.755
F2 F 0.750 0.424 0.245
```

#two
A geometry-optimized HfTlSe2F structure. Source: Alexandria via LeMat-Bulk, functional PBE-GGA.

The structure in CIF format:
```
data_HfTlSe2F
_space_group_name_H-M_alt 'P 1'
_space_group_IT_number 1
_space_group_name_Hall 'P 1'
_cell_length_a 5.299
_cell_length_b 5.299
_cell_length_c 4.205
_cell_angle_alpha 90.00
_cell_angle_beta 90.00
_cell_angle_gamma 90.00
loop_
_atom_site_label
_atom_site_type_symbol
_atom_site_fract_x
_atom_site_fract_y
_atom_site_fract_z
F1 F 0.000 0.000 0.500
Tl1 Tl 0.500 0.500 0.500
Hf1 Hf 0.000 0.000 0.000
Se1 Se 0.500 0.000 0.000
Se2 Se 0.000 0.500 0.000
```

Result of the stability comparison: #two is the least stable of them.

#one
A geometry-optimized HfSi3F structure. Source: Alexandria via LeMat-Bulk, functional PBE-GGA.

The structure in CIF format:
```
data_HfSi3F
_space_group_name_H-M_alt 'P 1'
_space_group_IT_number 1
_space_group_name_Hall 'P 1'
_cell_length_a 5.100
_cell_length_b 5.100
_cell_length_c 5.100
_cell_angle_alpha 90.00
_cell_angle_beta 90.00
_cell_angle_gamma 90.00
loop_
_atom_site_label
_atom_site_type_symbol
_atom_site_fract_x
_atom_site_fract_y
_atom_site_fract_z
Si1 Si 0.000 0.500 0.000
Si2 Si 0.000 0.000 0.500
Si3 Si 0.500 0.000 0.000
F1 F 0.500 0.500 0.500
Hf1 Hf 0.000 0.000 0.000
```

#two
A geometry-optimized HfSi3F structure. Source: Alexandria via LeMat-Bulk, functional PBE-GGA.

The structure in CIF format:
```
data_HfSi3F
_space_group_name_H-M_alt 'P 1'
_space_group_IT_number 1
_space_group_name_Hall 'P 1'
_cell_length_a 4.278
_cell_length_b 4.278
_cell_length_c 4.278
_cell_angle_alpha 90.00
_cell_angle_beta 90.00
_cell_angle_gamma 90.00
loop_
_atom_site_label
_atom_site_type_symbol
_atom_site_fract_x
_atom_site_fract_y
_atom_site_fract_z
Si1 Si 0.000 0.000 0.500
Si2 Si 0.000 0.500 0.000
Si3 Si 0.500 0.000 0.000
Hf1 Hf 0.500 0.500 0.500
F1 F 0.000 0.000 0.000
```

Result of the stability comparison: #one is the least stable of them.